A geometry-optimized MnInCl2F structure. Source: the Alexandria database, functional PBE+U.

The structure in extended XYZ format:
```
5
Lattice="-3.751 -1.718 3.258 -1.659 -3.364 -3.684 2.577 -2.865 1.456" Properties=species:S:1:pos:R:3 pbc="T T T"
Cl -0.829 -1.682 -1.842
Cl -1.875 -0.859 1.629
F 1.289 -1.433 0.728
Mn 0.000 0.000 0.000
In -1.416 -3.974 0.515
```

Summary:
E: -0.1711 Ha/atom
DOS at the Fermi energy: 0.00 states/eV/cell